Entry from the Alexandria database: an optimized crystal structure of CaTm2HgAu4 (GGA-PBE).

extended XYZ file:
```
8
Lattice="2.492 1.439 8.154 -2.492 1.439 8.154 0.000 -2.877 8.154" Properties=species:S:1:pos:R:3 pbc="T T T"
Ca 0.000 0.000 0.000
Tm 0.000 0.000 5.938
Tm 0.000 0.000 18.524
Hg 0.000 0.000 12.231
Au 0.000 0.000 2.956
Au 0.000 0.000 9.037
Au 0.000 0.000 15.425
Au 0.000 0.000 21.506
```

Output
Calculated density = 12.94 g cm⁻³
Energy = -3.76 eV/atom
DFT formation energy = -712 meV/atom